# 1
Here is a relaxed structure of TiAl3P from the Alexandria database. Energies are from PBE-GGA.

Output
**Energy relative to the elements**: 0.581 eV per atom
**Density of states at the Fermi level**: 6.434 states/eV/f.u.

Cell: 4.619 4.619 4.619 Å, 90.00 90.00 90.00°
Fractional coordinates of all 5 atoms:
Ti 0.000 0.000 0.000
Al 0.000 0.500 0.500
Al 0.500 0.000 0.500
Al 0.500 0.500 0.000
P 0.500 0.500 0.500

# 2
Here is a relaxed structure of KCrSi2 from the Alexandria database. Energies are from PBE-GGA.

Output
**Formation energy from raw total energies**: 0.67 eV/atom
**Density of states at the Fermi level**: 2.398 states/eV/f.u.

Cell: 6.077 6.077 6.077 Å, 151.62 124.46 63.54°
Fractional coordinates of all 4 atoms:
K 0.000 0.000 0.000
Cr 0.680 0.180 0.500
Si 0.294 0.794 0.500
Si 0.482 0.482 0.000

# 3
Here is a relaxed structure of MgSbTe2C from the Alexandria database. Energies are from PBE-GGA.

Output
**Formation energy from raw total energies**: 1.71 eV/atom
**Density of states at the Fermi level**: 6.572 states/eV/f.u.

Cell: 5.406 5.406 5.397 Å, 90.00 90.00 90.00°
Fractional coordinates of all 5 atoms:
Mg 0.000 0.000 0.000
Sb 0.000 0.000 0.500
Te 0.000 0.500 0.000
Te 0.500 0.000 0.000
C 0.500 0.500 0.500

# 4
Here is a relaxed structure of Li2TaCl from the Alexandria database. Energies are from PBE-GGA.

Output
**Formation energy from raw total energies**: 0.72 eV/atom
**Density of states at the Fermi level**: 3.228 states/eV/f.u.

Cell: 4.519 4.519 4.519 Å, 60.00 60.00 60.00°
Fractional coordinates of all 4 atoms:
Li 0.000 0.000 0.000
Li 0.250 0.250 0.250
Ta 0.750 0.750 0.750
Cl 0.500 0.500 0.500

# 5
Here is a relaxed structure of Tl3CuSe2 from the Alexandria database. Energies are from PBE-GGA.

Output
**Formation energy from raw total energies**: -0.27 eV/atom
**Density of states at the Fermi level**: 0.184 states/eV/f.u.

Cell: 9.163 9.163 11.822 Å, 124.74 124.74 26.91°
Fractional coordinates of all 12 atoms:
Tl 0.050 0.050 0.240
Tl 0.241 0.241 0.647
Tl 0.351 0.351 0.016
Tl 0.649 0.649 0.984
Tl 0.759 0.759 0.353
Tl 0.950 0.950 0.760
Cu 0.434 0.434 0.364
Cu 0.566 0.566 0.636
Se 0.137 0.137 0.785
Se 0.399 0.399 0.541
Se 0.601 0.601 0.459
Se 0.863 0.863 0.215

# 6
Here is a relaxed structure of Ca2AgAs from the Alexandria database. Energies are from PBE-GGA.

Output
**Energy relative to the elements**: -0.678 eV per atom
**Density of states at the Fermi level**: 1.369 states/eV/f.u.

Cell: 3.584 3.778 7.298 Å, 90.00 90.00 90.00°
Fractional coordinates of all 4 atoms:
Ca 0.000 0.000 0.227
Ca 0.000 0.000 0.773
Ag 0.500 0.500 0.500
As 0.500 0.500 0.000

# 7
Here is a relaxed structure of LiCaY2Se4 from the Alexandria database. Energies are from PBE-GGA.

Output
**Formation energy from raw total energies**: -1.80 eV/atom
**Density of states at the Fermi level**: 2.502 states/eV/f.u.

Cell: 7.046 4.087 7.150 Å, 90.00 109.22 90.00°
Fractional coordinates of all 8 atoms:
Li 0.000 0.000 0.000
Ca 0.500 0.500 0.000
Y 0.000 0.500 0.500
Y 0.500 0.000 0.500
Se 0.244 0.000 0.749
Se 0.246 0.500 0.250
Se 0.754 0.500 0.750
Se 0.756 0.000 0.251

# 8
Here is a relaxed structure of Dy2CuTe2S2O14 from the Alexandria database. Energies are from PBE-GGA.

Output
**Formation energy from raw total energies**: -1.82 eV/atom

Cell: 5.215 7.944 8.223 Å, 61.70 74.58 85.35°
Fractional coordinates of all 21 atoms:
Dy 0.065 0.251 0.020
Dy 0.935 0.749 0.980
Cu 0.000 0.000 0.500
Te 0.492 0.729 0.653
Te 0.508 0.271 0.347
S 0.263 0.744 0.250
S 0.737 0.256 0.750
O 0.156 0.582 0.238
O 0.156 0.737 0.437
O 0.173 0.919 0.096
O 0.250 0.560 0.888
O 0.254 0.931 0.656
O 0.268 0.186 0.256
O 0.442 0.258 0.792
O 0.558 0.742 0.208
O 0.732 0.814 0.744
O 0.746 0.069 0.344
O 0.750 0.440 0.112
O 0.827 0.081 0.904
O 0.844 0.263 0.563
O 0.844 0.418 0.762

# 9
Here is a relaxed structure of CdCuAu2O6 from the Alexandria database. Energies are from PBE-GGA.

Output
**Formation energy from raw total energies**: -0.18 eV/atom
**Density of states at the Fermi level**: 6.329 states/eV/f.u.

Cell: 7.535 7.535 6.255 Å, 110.52 110.52 59.52°
Fractional coordinates of all 20 atoms:
Cd 0.128 0.872 0.750
Cd 0.872 0.128 0.250
Cu 0.284 0.716 0.250
Cu 0.716 0.284 0.750
Au 0.104 0.408 0.774
Au 0.408 0.104 0.274
Au 0.592 0.896 0.726
Au 0.896 0.592 0.226
O 0.013 0.803 0.347
O 0.197 0.987 0.153
O 0.205 0.398 0.225
O 0.231 0.613 0.930
O 0.387 0.769 0.570
O 0.398 0.205 0.725
O 0.602 0.795 0.275
O 0.613 0.231 0.430
O 0.769 0.387 0.070
O 0.795 0.602 0.775
O 0.803 0.013 0.847
O 0.987 0.197 0.653

# 10
Here is a relaxed structure of AlAgHg2Te4 from the Alexandria database. Energies are from PBE-GGA.

Output
**Formation energy from raw total energies**: -0.26 eV/atom
**Density of states at the Fermi level**: 0.813 states/eV/f.u.

Cell: 7.881 7.881 7.881 Å, 131.13 131.13 71.61°
Fractional coordinates of all 8 atoms:
Al 0.000 0.000 0.000
Ag 0.500 0.500 0.000
Hg 0.250 0.750 0.500
Hg 0.750 0.250 0.500
Te 0.124 0.124 0.480
Te 0.356 0.876 0.000
Te 0.644 0.644 0.520
Te 0.876 0.356 0.000

# 11
Here is a relaxed structure of YZnCu2 from the Alexandria database. Energies are from PBE-GGA.

Output
**Energy relative to the elements**: -0.273 eV per atom
**Density of states at the Fermi level**: 2.145 states/eV/f.u.

Cell: 6.962 4.152 9.461 Å, 90.00 90.00 90.00°
Fractional coordinates of all 16 atoms:
Y 0.223 0.250 0.180
Y 0.277 0.750 0.680
Y 0.723 0.250 0.320
Y 0.777 0.750 0.820
Zn 0.052 0.750 0.394
Zn 0.448 0.250 0.894
Zn 0.552 0.750 0.106
Zn 0.948 0.250 0.606
Cu 0.073 0.250 0.877
Cu 0.235 0.750 0.971
Cu 0.265 0.250 0.471
Cu 0.427 0.750 0.377
Cu 0.573 0.250 0.623
Cu 0.735 0.750 0.529
Cu 0.765 0.250 0.029
Cu 0.927 0.750 0.123

# 12
Here is a relaxed structure of K2BaGeBi from the Alexandria database. Energies are from PBE-GGA.

Output
**Energy relative to the elements**: 0.731 eV per atom
**Density of states at the Fermi level**: 5.576 states/eV/f.u.

Cell: 7.714 7.714 6.236 Å, 90.00 90.00 90.00°
Fractional coordinates of all 5 atoms:
K 0.000 0.500 0.000
K 0.500 0.000 0.000
Ba 0.000 0.000 0.000
Ge 0.500 0.500 0.500
Bi 0.000 0.000 0.500

# 13
Here is a relaxed structure of Zr7Sn2Bi2 from the Alexandria database. Energies are from PBE-GGA.

Output
**Energy relative to the elements**: 0.002 eV per atom
**Density of states at the Fermi level**: 10.222 states/eV/f.u.

Cell: 7.118 7.118 5.714 Å, 100.18 100.18 79.03°
Fractional coordinates of all 11 atoms:
Zr 0.000 0.000 0.000
Zr 0.065 0.410 0.274
Zr 0.410 0.065 0.274
Zr 0.497 0.497 0.738
Zr 0.503 0.503 0.262
Zr 0.590 0.935 0.726
Zr 0.935 0.590 0.726
Sn 0.199 0.801 0.500
Sn 0.801 0.199 0.500
Bi 0.246 0.246 0.824
Bi 0.754 0.754 0.176

# 14
Here is a relaxed structure of Nd2Sm5Th4 from the Alexandria database. Energies are from PBE-GGA.

Output
**Energy relative to the elements**: 0.126 eV per atom
**Density of states at the Fermi level**: 16.099 states/eV/f.u.

Cell: 11.899 11.899 8.953 Å, 92.82 92.82 16.97°
Fractional coordinates of all 11 atoms:
Nd 0.225 0.225 0.318
Nd 0.775 0.775 0.682
Sm 0.000 0.000 0.500
Sm 0.364 0.364 0.419
Sm 0.405 0.405 0.795
Sm 0.595 0.595 0.205
Sm 0.636 0.636 0.581
Th 0.183 0.183 0.937
Th 0.449 0.449 0.148
Th 0.551 0.551 0.852
Th 0.817 0.817 0.063

# 15
Here is a relaxed structure of SiHg2Rh from the Alexandria database. Energies are from PBE-GGA.

Output
**Formation energy from raw total energies**: -0.10 eV/atom
**Density of states at the Fermi level**: 0.720 states/eV/f.u.

Cell: 7.749 7.749 3.906 Å, 104.40 104.40 20.91°
Fractional coordinates of all 4 atoms:
Si 0.000 0.000 0.000
Hg 0.180 0.180 0.681
Hg 0.820 0.820 0.319
Rh 0.500 0.500 0.500

# 16
Here is a relaxed structure of FeTc2N from the Alexandria database. Energies are from PBE-GGA.

Output
**Formation energy from raw total energies**: 0.49 eV/atom
**Density of states at the Fermi level**: 4.977 states/eV/f.u.

Cell: 5.884 5.884 5.884 Å, 130.60 130.60 72.45°
Fractional coordinates of all 8 atoms:
Fe 0.000 0.000 0.000
Fe 0.750 0.250 0.500
Tc 0.175 0.625 0.050
Tc 0.375 0.425 0.550
Tc 0.575 0.125 0.950
Tc 0.875 0.825 0.450
N 0.250 0.750 0.500
N 0.500 0.500 0.000

# 17
Here is a relaxed structure of MgTa2Cl from the Alexandria database. Energies are from PBE-GGA.

Output
**Formation energy from raw total energies**: 0.40 eV/atom
**Density of states at the Fermi level**: 3.334 states/eV/f.u.

Cell: 6.167 6.167 3.106 Å, 104.26 104.26 126.98°
Fractional coordinates of all 4 atoms:
Mg 0.000 0.000 0.000
Ta 0.000 0.500 0.000
Ta 0.500 0.000 0.000
Cl 0.500 0.500 0.000

# 18
Here is a relaxed structure of DyLuZrSc from the Alexandria database. Energies are from PBE-GGA.

Output
**Energy relative to the elements**: 0.174 eV per atom
**Density of states at the Fermi level**: 8.550 states/eV/f.u.

Cell: 5.326 5.326 5.326 Å, 60.00 60.00 60.00°
Fractional coordinates of all 4 atoms:
Dy 0.000 0.000 0.000
Lu 0.250 0.250 0.250
Zr 0.500 0.500 0.500
Sc 0.750 0.750 0.750

# 19
Here is a relaxed structure of Rb2Cd3Ge2 from the Alexandria database. Energies are from PBE-GGA.

Output
**Energy relative to the elements**: 0.005 eV per atom
**Density of states at the Fermi level**: 2.561 states/eV/f.u.

Cell: 7.038 7.038 8.528 Å, 121.12 121.12 38.11°
Fractional coordinates of all 7 atoms:
Rb 0.140 0.140 0.273
Rb 0.860 0.860 0.727
Cd 0.358 0.358 0.067
Cd 0.500 0.500 0.500
Cd 0.642 0.642 0.933
Ge 0.134 0.134 0.719
Ge 0.866 0.866 0.281

# 20
Here is a relaxed structure of LiTeO2 from the Alexandria database. Energies are from PBE-GGA.

Output
**Formation energy from raw total energies**: -1.28 eV/atom
**Density of states at the Fermi level**: 0.458 states/eV/f.u.

Cell: 6.556 3.173 11.520 Å, 90.00 90.00 90.00°
Fractional coordinates of all 16 atoms:
Li 0.050 0.250 0.101
Li 0.450 0.750 0.601
Li 0.550 0.250 0.399
Li 0.950 0.750 0.899
Te 0.084 0.750 0.364
Te 0.416 0.250 0.864
Te 0.584 0.750 0.136
Te 0.916 0.250 0.636
O 0.163 0.250 0.942
O 0.181 0.750 0.209
O 0.319 0.250 0.709
O 0.337 0.750 0.442
O 0.663 0.250 0.558
O 0.681 0.750 0.291
O 0.819 0.250 0.791
O 0.837 0.750 0.058

# 21
Here is a relaxed structure of CsCu3Ag4Cl12 from the Alexandria database. Energies are from PBE-GGA.

Output
**Formation energy from raw total energies**: -0.60 eV/atom
**Density of states at the Fermi level**: 13.095 states/eV/f.u.

Cell: 8.536 8.536 8.536 Å, 109.47 109.47 109.47°
Fractional coordinates of all 20 atoms:
Cs 0.000 0.000 0.000
Cu 0.000 0.500 0.500
Cu 0.500 0.000 0.500
Cu 0.500 0.500 0.000
Ag 0.000 0.000 0.500
Ag 0.000 0.500 0.000
Ag 0.500 0.000 0.000
Ag 0.500 0.500 0.500
Cl 0.163 0.496 0.333
Cl 0.163 0.830 0.667
Cl 0.170 0.333 0.837
Cl 0.333 0.163 0.496
Cl 0.333 0.837 0.170
Cl 0.496 0.333 0.163
Cl 0.504 0.667 0.837
Cl 0.667 0.163 0.830
Cl 0.667 0.837 0.504
Cl 0.830 0.667 0.163
Cl 0.837 0.170 0.333
Cl 0.837 0.504 0.667

# 22
Here is a relaxed structure of LiTa2Br from the Alexandria database. Energies are from PBE-GGA.

Output
**Formation energy from raw total energies**: 0.47 eV/atom
**Density of states at the Fermi level**: 3.283 states/eV/f.u.

Cell: 6.408 6.408 3.142 Å, 103.16 103.16 131.20°
Fractional coordinates of all 4 atoms:
Li 0.000 0.000 0.000
Ta 0.000 0.500 0.000
Ta 0.500 0.000 0.000
Br 0.500 0.500 0.000

# 23
Here is a relaxed structure of NaPrMoN3 from the Alexandria database. Energies are from PBE-GGA.

Output
**Formation energy from raw total energies**: -0.47 eV/atom
**Density of states at the Fermi level**: 0.070 states/eV/f.u.

Cell: 7.286 7.286 7.222 Å, 105.53 105.53 31.04°
Fractional coordinates of all 12 atoms:
Na 0.140 0.140 0.077
Na 0.860 0.860 0.923
Pr 0.165 0.165 0.612
Pr 0.835 0.835 0.388
Mo 0.493 0.493 0.699
Mo 0.507 0.507 0.301
N 0.012 0.012 0.329
N 0.345 0.345 0.658
N 0.368 0.368 0.175
N 0.632 0.632 0.825
N 0.655 0.655 0.342
N 0.988 0.988 0.671

Number 1: raw total energy -4.33 eV/atom, spin magnetization 0.0 Bohr magnetons per cell. Number 2: raw total energy -4.72 eV/atom, spin magnetization 3.9 Bohr magnetons per cell. Number 3: raw total energy -2.54 eV/atom, spin magnetization 1.6 Bohr magnetons per cell. Number 4: raw total energy -3.66 eV/atom, spin magnetization 0.0 Bohr magnetons per cell. Number 5: raw total energy -3.29 eV/atom, spin magnetization 0.0 Bohr magnetons per cell. Number 6: raw total energy -3.55 eV/atom, spin magnetization 0.0 Bohr magnetons per cell. Number 7: raw total energy -5.65 eV/atom, spin magnetization 0.0 Bohr magnetons per cell. Number 8: raw total energy -6.45 eV/atom, spin magnetization 1.0 Bohr magnetons per cell. Number 9: raw total energy -4.31 eV/atom, spin magnetization 2.1 Bohr magnetons per cell. Number 10: raw total energy -2.73 eV/atom, spin magnetization 0.0 Bohr magnetons per cell. Number 11: raw total energy -4.26 eV/atom, spin magnetization 0.0 Bohr magnetons per cell. Number 12: raw total energy -1.79 eV/atom, spin magnetization 2.0 Bohr magnetons per cell. Number 13: raw total energy -6.87 eV/atom, spin magnetization 1.8 Bohr magnetons per cell. Number 14: raw total energy -5.58 eV/atom, spin magnetization 0.0 Bohr magnetons per cell. Number 15: raw total energy -3.44 eV/atom, spin magnetization 0.0 Bohr magnetons per cell. Number 16: raw total energy -8.89 eV/atom, spin magnetization 0.0 Bohr magnetons per cell. Number 17: raw total energy -6.38 eV/atom, spin magnetization 0.0 Bohr magnetons per cell. Number 18: raw total energy -5.83 eV/atom, spin magnetization 1.4 Bohr magnetons per cell. Number 19: raw total energy -1.98 eV/atom, spin magnetization 0.0 Bohr magnetons per cell. Number 20: raw total energy -5.03 eV/atom, spin magnetization 0.0 Bohr magnetons per cell. Number 21: raw total energy -2.94 eV/atom, spin magnetization 2.7 Bohr magnetons per cell. Number 22: raw total energy -6.36 eV/atom, spin magnetization 0.0 Bohr magnetons per cell. Number 23: raw total energy -7.45 eV/atom, spin magnetization 0.0 Bohr magnetons per cell.